{
  "formula": "AlCd2AuO",
  "functional": "GGA-PBEsol",
  "state": "relaxed",
  "e_form_raw_kj_per_mol_fu": -221,
  "magnetic_moment_mub_per_cell": 0.000,
  "final_energy_ev_per_atom": -3.591,
  "lattice": [[4.936, 0.000, 0.000], [0.000, 4.936, 0.000], [0.000, 0.000, 3.462]],
  "species": ["Al", "Cd", "Cd", "Au", "O"],
  "frac_coords": [[0.000, 0.000, 0.000], [0.000, 0.500, 0.500], [0.500, 0.000, 0.500], [0.500, 0.500, 0.000], [0.000, 0.000, 0.500]]
}



{
  "formula": "YAl2CdAu",
  "functional": "GGA-PBEsol",
  "state": "relaxed",
  "delta_e_f_ev_per_fu": 0.00,
  "magnetic_moment_mub_per_cell": 0.000,
  "final_energy_ev_per_atom": -4.025,
  "lattice": [[4.773, 0.000, 0.000], [0.000, 4.773, 0.000], [0.000, 0.000, 5.524]],
  "species": ["Y", "Al", "Al", "Cd", "Au"],
  "frac_coords": [[0.000, 0.000, 0.000], [0.000, 0.500, 0.500], [0.500, 0.000, 0.500], [0.500, 0.500, 0.000], [0.000, 0.000, 0.500]]
}



> Number 2 is which compound?

YAl2CdAu